# 1
A plane-wave DFT calculation with PBE was carried out for a relaxed structure of YTiNiIr.

extended XYZ file:
```
4
Lattice="-2.8124 -0.5031 3.6047 -4.3911 -1.2005 -0.6588 -1.4462 -4.1921 1.2212" Properties=species:S:1:pos:R:3 pbc="T T T"
Ir -4.3248 -2.9479 2.0835
Ni 0.0000 0.0000 0.0000
Y -2.1624 -1.4739 1.0418
Ti -6.4872 -4.4218 3.1253
```

Properties
space group = F-43m
raw total energy = -7.708 eV/atom
density of states at the Fermi level = 5.44 states/eV/f.u.
E_form = -0.457 eV/atom



# 2
A plane-wave DFT calculation with PBE was carried out for a relaxed structure of RbBH2.

extended XYZ file:
```
16
Lattice="-0.2638 1.6084 2.8397 -4.2941 -6.6044 3.3418 7.8413 -5.0415 0.1123" Properties=species:S:1:pos:R:3 pbc="T T T"
B 2.6524 -5.4736 3.5468
Rb 1.5724 -2.8456 1.8767
B 0.8788 0.3494 1.8198
B 2.2691 -6.0422 1.9304
Rb 3.3459 -8.6686 3.6037
H 0.8961 -3.9157 4.3688
H 4.5653 -2.5910 0.7456
Rb 5.4938 -5.3651 1.9322
H -1.4369 -3.0533 3.0755
Rb -0.5739 -6.1466 3.5469
H -1.5024 -3.3725 2.3604
H 3.7620 -5.9916 3.9489
H 4.6308 -2.2718 1.4608
H 6.9638 -3.1343 2.7541
H 1.9884 -0.1687 2.2218
B 0.4955 -0.2193 0.2034
```

Properties
space group = Cm
raw total energy = -3.585 eV/atom
density of states at the Fermi level = 0.21 states/eV/f.u.
energy above the most stable polymorph in this dataset = 65 meV/atom



# 3
A plane-wave DFT calculation with PBE was carried out for a relaxed structure of InIr2C.

extended XYZ file:
```
8
Lattice="-5.4576 -0.7023 3.5336 0.7401 -6.4958 -0.1479 -0.8208 -3.4784 4.0921" Properties=species:S:1:pos:R:3 pbc="T T T"
C -1.2197 -6.7866 2.8185
C -2.3587 -3.5990 1.6929
Ir -2.2976 -6.0719 4.3213
Ir -4.8304 -8.1433 6.0490
Ir -1.0665 -5.0998 1.7878
In 0.0000 0.0000 0.0000
Ir -2.8820 -2.0379 2.7975
In -4.3186 -3.8899 4.6593
```

Properties
space group = I-42d
raw total energy = -7.174 eV/atom
density of states at the Fermi level = 1.69 states/eV/f.u.
E_form = 0.247 eV/atom
energy above the most stable polymorph in this dataset = 0 meV/atom



# 4
A plane-wave DFT calculation with PBE was carried out for a relaxed structure of CaGePt2.

extended XYZ file:
```
8
Lattice="5.0197 0.0000 0.0000 0.0000 5.0197 0.0000 2.5098 2.5098 8.1762" Properties=species:S:1:pos:R:3 pbc="T T T"
Pt 6.2746 2.2129 6.1322
Ca 2.5098 2.5098 0.0000
Ca 2.5098 5.0197 4.0881
Ge 5.0197 2.5098 4.0881
Ge 0.0000 0.0000 0.0000
Pt 3.7647 2.8067 6.1322
Pt 5.3166 3.7647 2.0441
Pt 4.7228 1.2549 2.0441
```

Properties
space group = I-42d
raw total energy = -5.157 eV/atom
density of states at the Fermi level = 1.97 states/eV/f.u.
E_form = -0.481 eV/atom



# 5
A plane-wave DFT calculation with PBE was carried out for a relaxed structure of CrPbCl2.

extended XYZ file:
```
4
Lattice="5.3315 0.0000 0.0000 0.0000 5.3315 0.0000 0.0000 0.0000 3.4039" Properties=species:S:1:pos:R:3 pbc="T T T"
Pb 0.0000 2.6658 1.7019
Cl 2.6658 2.6658 0.0000
Cr 2.6658 0.0000 1.7019
Cl 0.0000 0.0000 0.0000
```

Properties
space group = P4/mmm
raw total energy = -4.312 eV/atom
density of states at the Fermi level = 2.14 states/eV/f.u.
energy above the most stable polymorph in this dataset = 473 meV/atom



# 6
A plane-wave DFT calculation with PBE was carried out for a relaxed structure of KPm2Tc.

extended XYZ file:
```
4
Lattice="3.5706 0.0000 0.0000 0.0000 3.5706 0.0000 0.0000 0.0000 10.6693" Properties=species:S:1:pos:R:3 pbc="T T T"
K 1.7853 1.7853 5.3346
Pm 0.0000 0.0000 9.0166
Tc 1.7853 1.7853 0.0000
Pm 0.0000 0.0000 1.6526
```

Properties
space group = P4/mmm
raw total energy = -5.081 eV/atom
density of states at the Fermi level = 4.46 states/eV/f.u.
E_form = 0.160 eV/atom



# 7
A plane-wave DFT calculation with PBE was carried out for a relaxed structure of BaPRhCl2.

extended XYZ file:
```
5
Lattice="5.8851 0.0000 0.0000 0.0000 5.8851 0.0000 0.0000 0.0000 6.4636" Properties=species:S:1:pos:R:3 pbc="T T T"
Ba 0.0000 0.0000 0.0000
Cl 2.9425 0.0000 0.0000
P 0.0000 0.0000 3.2318
Rh 2.9425 2.9425 3.2318
Cl 0.0000 2.9425 0.0000
```

Properties
space group = P4/mmm
raw total energy = -3.325 eV/atom
density of states at the Fermi level = 18.38 states/eV/f.u.
energy above the most stable polymorph in this dataset = 1289 meV/atom



# 8
A plane-wave DFT calculation with PBE was carried out for a relaxed structure of TaHIr2Pd.

extended XYZ file:
```
5
Lattice="4.0304 0.0000 0.0000 0.0000 4.0304 0.0000 0.0000 0.0000 3.9307" Properties=species:S:1:pos:R:3 pbc="T T T"
Ta 2.0152 2.0152 1.9653
Pd 0.0000 0.0000 1.9653
Ir 2.0152 0.0000 0.0000
H 0.0000 0.0000 0.0000
Ir 0.0000 2.0152 0.0000
```

Properties
space group = P4/mmm
raw total energy = -7.909 eV/atom
density of states at the Fermi level = 1.20 states/eV/f.u.



# 9
A plane-wave DFT calculation with PBE was carried out for a relaxed structure of Pm3Sm5Dy3.

extended XYZ file:
```
11
Lattice="-3.2240 -2.4714 3.7635 -3.7748 -5.6732 -6.9591 7.9161 -2.8938 4.8810" Properties=species:S:1:pos:R:3 pbc="T T T"
Dy 1.3018 -2.3009 3.6784
Dy -3.0015 -3.3239 -0.6798
Dy 1.0049 -6.6493 0.5686
Sm 4.1792 -3.3528 5.4526
Pm 4.5357 -1.6581 2.7967
Sm 2.4071 -5.0560 2.8161
Sm -1.4898 -5.9825 -1.1306
Pm -2.1629 -3.2506 -3.9874
Sm -0.5004 -3.5353 1.3240
Sm -4.3736 -5.3861 -3.2093
Pm 1.7684 -3.6583 -0.8874
```

Properties
space group = P-62m
raw total energy = -3.938 eV/atom
density of states at the Fermi level = 19.32 states/eV/f.u.
E_form = 0.757 eV/atom
energy above the most stable polymorph in this dataset = 428 meV/atom



# 10
A plane-wave DFT calculation with PBE was carried out for a relaxed structure of GaSnBi2F.

extended XYZ file:
```
5
Lattice="5.7518 0.0000 0.0000 0.0000 3.9600 0.0000 0.0000 0.0000 5.7518" Properties=species:S:1:pos:R:3 pbc="T T T"
Bi 2.8759 0.0000 0.0000
Bi 0.0000 0.0000 2.8759
Ga 0.0000 0.0000 0.0000
Sn 2.8759 1.9800 2.8759
F 0.0000 1.9800 0.0000
```

Properties
space group = P4/mmm
raw total energy = -3.766 eV/atom
density of states at the Fermi level = 2.67 states/eV/f.u.



# 11
A plane-wave DFT calculation with PBE was carried out for a relaxed structure of HfInH.

extended XYZ file:
```
6
Lattice="3.9178 0.0000 0.0000 0.0000 3.8001 0.7807 0.0000 -1.2480 6.0751" Properties=species:S:1:pos:R:3 pbc="T T T"
H 2.9384 2.2233 3.6375
In 2.9384 -0.1556 5.5738
In 0.9795 2.7077 1.2821
Hf 0.9795 2.0919 4.2746
H 0.9795 0.3287 3.2184
Hf 2.9384 0.4602 2.5813
```

Properties
space group = Pmmn
raw total energy = -5.611 eV/atom
density of states at the Fermi level = 0.89 states/eV/f.u.
energy above the most stable polymorph in this dataset = 95 meV/atom



# 12
A plane-wave DFT calculation with PBE was carried out for a relaxed structure of Tl2CoMo.

extended XYZ file:
```
4
Lattice="9.0373 -0.0056 -0.0033 8.5068 3.0506 -0.0033 8.5068 1.4765 2.6695" Properties=species:S:1:pos:R:3 pbc="T T T"
Tl 13.1735 2.2865 1.3466
Co 6.5127 1.1304 0.6657
Tl 25.9027 4.4958 2.6478
Mo 19.5381 3.3911 1.9972
```

Properties
space group = R-3m
raw total energy = -4.889 eV/atom
density of states at the Fermi level = 3.93 states/eV/f.u.
E_form = 0.779 eV/atom
energy above the most stable polymorph in this dataset = 334 meV/atom



Question: Which of these has the lowest raw total energy?
Answer: TaHIr2Pd



Question: Which of these has the highest raw total energy?
Answer: BaPRhCl2



Question: Which value of density of states at the Fermi level does entry 9 give?
Answer: 19.32 states/eV/f.u.



Question: The highest raw total energy belongs to which entry?
Answer: BaPRhCl2